# 1
An optimized crystal structure of LiTeO, computed with PBE-GGA.

Structure (extended XYZ):
```
6
Lattice="-3.785 -0.352 0.279 0.527 -1.740 4.592 0.161 6.240 1.264" Properties=species:S:1:pos:R:3 pbc="T T T"
Li -0.877 1.333 0.414
Li -1.344 -0.981 2.648
O -3.117 -1.458 3.679
O -1.655 -0.391 0.869
Te -0.779 2.089 3.667
Te -2.381 3.133 5.758
```

Values from the calculation:
M_tot = 0.00 Bohr magnetons per cell
Space group = P1 (1)
ΔE to the lowest computed polymorph = 4.9 kJ/mol of atoms
Uncorrected formation energy = -1.118 eV/atom

---

# 2
An optimized crystal structure of Li4TeO5, computed with PBE-GGA.

Structure (extended XYZ):
```
20
Lattice="6.184 -0.416 -0.668 -2.442 5.477 0.321 -1.396 -2.919 7.403" Properties=species:S:1:pos:R:3 pbc="T T T"
O 3.297 -2.070 6.566
O -1.667 3.115 5.467
O 2.791 2.108 2.095
O -0.951 4.213 0.491
O 4.013 -0.973 1.589
O 1.259 2.494 5.744
O -0.445 0.035 4.961
O -0.151 2.149 2.592
O 1.087 -0.352 1.313
O 2.497 -0.007 4.464
Li -1.714 3.172 1.941
Li 3.028 1.682 5.577
Li 4.060 -1.030 5.116
Li -0.682 0.461 1.479
Li 3.092 -0.208 -0.334
Li -0.698 -1.460 3.702
Li 2.620 0.151 2.502
Li -0.274 1.991 4.554
Te 1.135 2.729 1.336
Te 1.211 -0.587 5.721
```

Values from the calculation:
M_tot = 0.00 Bohr magnetons per cell
Space group = P-1 (2)
ΔE to the lowest computed polymorph = 25.7 kJ/mol of atoms
Uncorrected formation energy = -1.486 eV/atom

---

# 3
An optimized crystal structure of LiTe2O, computed with PBE-GGA.

Structure (extended XYZ):
```
4
Lattice="2.578 0.000 6.405 -1.289 2.232 6.405 -1.289 -2.232 6.405" Properties=species:S:1:pos:R:3 pbc="T T T"
O 0.000 0.000 0.000
Te 0.000 0.000 1.989
Te 0.000 0.000 17.227
Li 0.000 0.000 9.608
```

Values from the calculation:
M_tot = 0.00 Bohr magnetons per cell
Space group = R-3m (166)
Uncorrected formation energy = -0.329 eV/atom

---

# 4
An optimized crystal structure of LiThTeO6, computed with PBE-GGA.

Structure (extended XYZ):
```
18
Lattice="5.073 0.000 0.000 0.000 5.073 0.000 0.000 0.000 9.883" Properties=species:S:1:pos:R:3 pbc="T T T"
O 4.156 0.917 4.770
O 1.619 1.619 9.712
O 4.127 0.946 1.901
O 3.483 3.483 6.842
O 3.703 3.703 3.287
O 1.591 1.591 6.842
O 0.917 4.156 4.770
O 3.454 3.454 9.712
O 1.166 3.908 8.228
O 3.908 1.166 8.228
O 1.371 1.371 3.287
O 0.946 4.127 1.901
Te 0.000 0.000 3.324
Te 2.537 2.537 8.265
Th 0.000 0.000 9.815
Th 2.537 2.537 4.874
Li 0.000 0.000 6.478
Li 2.537 2.537 1.536
```

Values from the calculation:
M_tot = 1.95 Bohr magnetons per cell
Space group = P4_2nm (102)
Uncorrected formation energy = -1.920 eV/atom

---

# 5
An optimized crystal structure of LiTi2TeO8, computed with PBE-GGA.

Structure (extended XYZ):
```
12
Lattice="4.658 0.033 -0.003 0.079 4.658 -0.005 0.004 0.007 6.114" Properties=species:S:1:pos:R:3 pbc="T T T"
O 1.494 1.482 3.054
O 1.004 3.733 4.691
O 3.344 3.314 6.108
O 3.737 0.965 1.414
O 1.002 3.730 1.413
O 3.740 0.968 4.693
O 1.397 1.384 -0.002
O 3.247 3.216 3.051
Ti 2.372 2.351 4.458
Ti 2.370 2.347 1.648
Li 0.002 0.003 3.057
Te 0.000 0.000 0.000
```

Values from the calculation:
M_tot = 0.04 Bohr magnetons per cell
Space group = Cmmm (65)
Uncorrected formation energy = -2.016 eV/atom

---

# 6
An optimized crystal structure of Li2TiTeO, computed with PBE-GGA.

Structure (extended XYZ):
```
5
Lattice="5.046 0.000 0.000 0.000 4.316 0.000 0.000 0.000 5.046" Properties=species:S:1:pos:R:3 pbc="T T T"
O 0.000 2.158 0.000
Ti 2.523 2.158 2.523
Te 0.000 0.000 0.000
Li 0.000 0.000 2.523
Li 2.523 0.000 0.000
```

Values from the calculation:
M_tot = 2.79 Bohr magnetons per cell
Space group = P4/mmm (123)
Uncorrected formation energy = 0.276 eV/atom

---

# 7
An optimized crystal structure of Li2TiTe3O12, computed with PBE-GGA.

Structure (extended XYZ):
```
18
Lattice="-2.193 7.236 -3.738 -3.806 -2.346 -2.309 -3.213 1.074 3.965" Properties=species:S:1:pos:R:3 pbc="T T T"
O -3.481 0.888 2.502
O -5.387 5.677 0.049
O -7.200 5.429 -2.569
O -2.632 1.557 -0.061
O -4.682 3.207 1.002
O -3.420 3.776 -1.496
O -6.090 3.174 -1.096
O -4.169 1.569 -2.470
O -3.805 6.456 -2.571
O -3.827 -1.202 -1.341
O -4.881 3.775 -3.932
O -5.451 0.684 -0.098
Ti -1.988 6.560 -3.388
Li -3.134 5.578 -0.621
Li -5.313 5.318 -2.247
Te -3.194 3.087 -3.355
Te -1.782 1.116 1.683
Te -4.363 2.181 -0.627
```

Values from the calculation:
M_tot = 0.00 Bohr magnetons per cell
Space group = P2 (3)
Uncorrected formation energy = -1.448 eV/atom

---

# 8
An optimized crystal structure of Li2TiTeO6, computed with PBE-GGA.

Structure (extended XYZ):
```
10
Lattice="3.991 0.000 0.000 0.000 5.467 0.000 0.000 0.000 5.467" Properties=species:S:1:pos:R:3 pbc="T T T"
O 2.887 4.124 1.343
O 0.788 2.734 2.734
O 2.887 4.124 4.124
O 0.758 0.000 0.000
O 2.887 1.343 1.343
O 2.887 1.343 4.124
Li 3.745 2.734 0.000
Li 3.745 0.000 2.734
Ti 2.486 2.734 2.734
Te 2.657 0.000 0.000
```

Values from the calculation:
M_tot = 0.00 Bohr magnetons per cell
Space group = P4mm (99)
Uncorrected formation energy = -1.840 eV/atom